Entry 1:
First-principles (GGA-PBE) data for Al4Re5 after structural relaxation, as listed in the Alexandria database.

a b c (Å): 7.7295 7.7295 5.0658
angles (deg): 90.00 90.00 120.00
Space group P6_3/mcm (No. 193)
Unique sites:
Al 0.0000 0.0000 0.0000
Al 0.0000 0.3798 0.2500
Re 0.0000 0.2931 0.7500
Re 0.3333 0.6667 0.0000

Calculated values
The value obtained for the calculated formation energy is 0.066 eV/atom.

Entry 2:
First-principles (GGA-PBE) data for Rb2PrB2S6 after structural relaxation, as listed in the Alexandria database.

a b c (Å): 11.965 6.757 8.718
angles (deg): 90.00 118.54 90.00
Space group C2/m (No. 12)
Unique sites:
Rb 0.202 0.000 0.178
Pr 0.000 0.000 0.500
B 0.066 0.500 0.278
S 0.024 0.271 0.767
S 0.234 0.500 0.343

Calculated values
The value obtained for the uncorrected formation energy is -0.96 eV per atom.

Entry 3:
First-principles (GGA-PBE) data for Ca2Y2In after structural relaxation, as listed in the Alexandria database.

a b c (Å): 8.038 8.038 5.558
angles (deg): 90.00 90.00 90.00
Space group P4/mbm (No. 127)
Unique sites:
Ca 0.163 0.337 0.000
Y 0.146 0.646 0.500
In 0.000 0.000 0.500

Calculated values
As for the energy relative to the lowest polymorph listed for this composition: 0.00 kcal/mol of atoms. The value obtained for the calculated formation energy is 0.077 eV/atom.